# TaGaSe2N | the Alexandria database | GGA-PBEsol | relaxed
data_TaGaSe2N
_cell_length_a 5.122
_cell_length_b 5.122
_cell_length_c 3.891
_cell_angle_alpha 90.00
_cell_angle_beta 90.00
_cell_angle_gamma 90.00
_space_group_name_H-M_alt 'P 4/m m m'
_space_group_IT_number 123
_space_group_name_Hall '-P 4 2'
loop_
_atom_site_label
_atom_site_fract_x
_atom_site_fract_y
_atom_site_fract_z
_atom_site_occupancy
Ta1 0.000 0.000 0.000 1
Ga1 0.500 0.500 0.500 1
Se1 0.000 0.500 0.000 1
N1 0.000 0.000 0.500 1
# * density: 6875 kg/m³
# * size of the total moment: 0.0 μB/f.u.
# * total energy: -6.569 eV/atom